KGa2Pb2 | PBE | optimized geometry

a b c (Å): 4.2600 4.2600 17.3429
angles (deg): 90.00 90.00 90.00
Last column: nearest neighbours and their distance in Å.
Space group I4/mmm (No. 139)
Unique sites:
1 K 0.0000 0.0000 0.0000 x2  8 Pb 3.80
2 Ga 0.0000 0.5000 0.2500 x4  4 Pb 2.93, 4 Ga 3.01
3 Pb 0.0000 0.0000 0.3662 x4  4 Ga 2.93

Values from the calculation:
Energy above the lowest structure with this stoichiometry = 34 meV per atom
Formation energy = -0.0673 eV per atom